DFT (GGA+U) results for crystalline LiCrPO4 at its relaxed geometry.

a = 5.051 Å, b = 7.284 Å, c = 9.891 Å
α = 90.00°, β = 90.00°, γ = 90.00°
Sites, in units of the cell vectors:
Li: 0.225 0.288 0.155
Li: 0.725 0.788 0.345
Li: 0.275 0.288 0.655
Li: 0.775 0.788 0.845
Cr: 0.240 0.784 0.145
Cr: 0.740 0.284 0.355
Cr: 0.260 0.784 0.645
Cr: 0.760 0.284 0.855
P: 0.717 0.537 0.095
P: 0.217 0.037 0.405
P: 0.783 0.537 0.595
P: 0.283 0.037 0.905
O: 0.243 0.041 0.061
O: 0.416 0.527 0.132
O: 0.854 0.364 0.154
O: 0.829 0.719 0.154
O: 0.329 0.219 0.346
O: 0.354 0.864 0.346
O: 0.916 0.027 0.368
O: 0.743 0.541 0.439
O: 0.257 0.041 0.561
O: 0.084 0.527 0.632
O: 0.646 0.364 0.654
O: 0.671 0.719 0.654
O: 0.171 0.219 0.846
O: 0.146 0.864 0.846
O: 0.584 0.027 0.868
O: 0.757 0.541 0.939

Calculated values
Space-group type: Pna2_1
Offset from the most stable computed form (kJ/mol of formula units): 36
Magnetic moment (μB/f.u.): 4.00
Density of states at the Fermi level (states/eV per atom): 0.0000